# 1
Al2TlOs: PBEsol geometry, meta-GGA SCAN.

```
4
Lattice="4.5537 0.0000 0.0000 2.2768 3.9436 0.0000 2.2768 1.3145 3.7181" Properties=species:S:1:pos:R:3 pbc="T T T"
Os 4.5537 2.6291 1.8590
Tl 2.2768 1.3145 0.9295
Al 6.8305 3.9436 2.7885
Al 0.0000 0.0000 0.0000
```

## Properties
Mass density ... 11.16 Mg/m³
E_form ... 0.542 eV per atom
Fermi-level density of states ... 2.3 states/eV/f.u.
Space-group type ... F-43m, No. 216


# 2
BaYPb2: PBEsol geometry, meta-GGA SCAN.

```
4
Lattice="4.0956 0.0000 0.0000 0.0000 4.0956 0.0000 0.0000 0.0000 7.6106" Properties=species:S:1:pos:R:3 pbc="T T T"
Pb 0.0000 0.0000 1.5647
Y 2.0478 2.0478 0.0000
Pb 0.0000 0.0000 6.0459
Ba 2.0478 2.0478 3.8053
```

## Properties
Mass density ... 8.33 Mg/m³
E_form ... -0.750 eV per atom
Fermi-level density of states ... 1.9 states/eV/f.u.
Space-group type ... P4/mmm, No. 123